Entry from OQMD via LeMat-Bulk: NaTaTeMo after structural relaxation (PBE).

```
4
Lattice="0.0000 3.3110 3.3110 3.3110 0.0000 3.3110 3.3110 3.3110 0.0000" Properties=species:S:1:pos:R:3 pbc="T T T"
Na 0.0000 0.0000 0.0000
Ta 4.9665 4.9665 4.9665
Te 1.6555 1.6555 1.6555
Mo 3.3110 3.3110 3.3110
```

Properties
ρ = 9.78 g/cm³
DFT total energy = -6.319 eV/atom
Energy above the most stable polymorph in this dataset = 0.0 meV/atom